# Cs2KAgSb PBE optimized geometry
# **Raw formation energy**: -49.4 kJ/mol of formula units
# **Magnetization**: 0.505 μB per cell
# **Total energy**: -2.058 eV/atom
data_Cs2KAgSb
_chemical_formula_sum 'Cs2 K1 Ag1 Sb1'
_space_group_name_H-M_alt 'P 4/m m m'
_space_group_IT_number 123
_space_group_name_Hall '-P 4 2'
_cell_length_a 7.1438
_cell_length_b 7.1438
_cell_length_c 5.2818
_cell_angle_alpha 90.00
_cell_angle_beta 90.00
_cell_angle_gamma 90.00
loop_
_atom_site_label
_atom_site_fract_x
_atom_site_fract_y
_atom_site_fract_z
_atom_site_occupancy
Cs1 0.0000 0.5000 0.0000 1
K1 0.0000 0.0000 0.5000 1
Ag1 0.5000 0.5000 0.0000 1
Sb1 0.5000 0.5000 0.5000 1

=====

# CsK2ScAg PBE optimized geometry
# **Magnetization**: 0.005 μB per cell
# **Total energy**: -1.782 eV/atom
# **Formation energy**: 664 meV per atom
data_CsK2ScAg
_chemical_formula_sum 'Cs1 K2 Sc1 Ag1'
_space_group_name_H-M_alt 'P 4/m m m'
_space_group_IT_number 123
_space_group_name_Hall '-P 4 2'
_cell_length_a 6.4611
_cell_length_b 6.4611
_cell_length_c 6.9117
_cell_angle_alpha 90.00
_cell_angle_beta 90.00
_cell_angle_gamma 90.00
loop_
_atom_site_label
_atom_site_fract_x
_atom_site_fract_y
_atom_site_fract_z
_atom_site_occupancy
Cs1 0.0000 0.0000 0.0000 1
K1 0.0000 0.5000 0.5000 1
Sc1 0.5000 0.5000 0.0000 1
Ag1 0.0000 0.0000 0.5000 1

=====

# CsK2AgSe PBE optimized geometry
# **Raw formation energy**: -250.5 kJ/mol of formula units
# **Magnetization**: 0.000 μB per cell
# **Total energy**: -2.396 eV/atom
data_CsK2AgSe
_chemical_formula_sum 'Cs1 K2 Ag1 Se1'
_space_group_name_H-M_alt 'P 4/m m m'
_space_group_IT_number 123
_space_group_name_Hall '-P 4 2'
_cell_length_a 6.2429
_cell_length_b 6.2429
_cell_length_c 6.9516
_cell_angle_alpha 90.00
_cell_angle_beta 90.00
_cell_angle_gamma 90.00
loop_
_atom_site_label
_atom_site_fract_x
_atom_site_fract_y
_atom_site_fract_z
_atom_site_occupancy
Cs1 0.0000 0.0000 0.0000 1
K1 0.0000 0.5000 0.5000 1
Ag1 0.5000 0.5000 0.0000 1
Se1 0.0000 0.0000 0.5000 1

=====

# CsKAg2Sn PBE optimized geometry
# **Magnetization**: 0.000 μB per cell
# **Total energy**: -2.266 eV/atom
# **Formation energy**: 65 meV per atom
data_CsKAg2Sn
_chemical_formula_sum 'Cs1 K1 Ag2 Sn1'
_space_group_name_H-M_alt 'P 4/m m m'
_space_group_IT_number 123
_space_group_name_Hall '-P 4 2'
_cell_length_a 5.4791
_cell_length_b 5.4791
_cell_length_c 6.4664
_cell_angle_alpha 90.00
_cell_angle_beta 90.00
_cell_angle_gamma 90.00
loop_
_atom_site_label
_atom_site_fract_x
_atom_site_fract_y
_atom_site_fract_z
_atom_site_occupancy
Cs1 0.0000 0.0000 0.0000 1
K1 0.5000 0.5000 0.0000 1
Ag1 0.0000 0.5000 0.5000 1
Sn1 0.5000 0.5000 0.5000 1

=====

# CsKTc2Ag PBE optimized geometry
# **Magnetization**: 5.069 μB per cell
# **Total energy**: -2.784 eV/atom
# **Formation energy**: 2322 meV per atom
data_CsKTc2Ag
_chemical_formula_sum 'Cs1 K1 Tc2 Ag1'
_space_group_name_H-M_alt 'P 4/m m m'
_space_group_IT_number 123
_space_group_name_Hall '-P 4 2'
_cell_length_a 5.2117
_cell_length_b 5.2117
_cell_length_c 6.3816
_cell_angle_alpha 90.00
_cell_angle_beta 90.00
_cell_angle_gamma 90.00
loop_
_atom_site_label
_atom_site_fract_x
_atom_site_fract_y
_atom_site_fract_z
_atom_site_occupancy
Cs1 0.0000 0.0000 0.0000 1
K1 0.5000 0.5000 0.5000 1
Tc1 0.0000 0.5000 0.0000 1
Ag1 0.0000 0.0000 0.5000 1

=====

# CsKAgTe2 PBE optimized geometry
# **Raw formation energy**: 47.2 kJ/mol of formula units
# **Magnetization**: 0.002 μB per cell
# **Total energy**: -2.119 eV/atom
data_CsKAgTe2
_chemical_formula_sum 'Cs1 K1 Ag1 Te2'
_space_group_name_H-M_alt 'P 4/m m m'
_space_group_IT_number 123
_space_group_name_Hall '-P 4 2'
_cell_length_a 6.3689
_cell_length_b 6.3689
_cell_length_c 5.8552
_cell_angle_alpha 90.00
_cell_angle_beta 90.00
_cell_angle_gamma 90.00
loop_
_atom_site_label
_atom_site_fract_x
_atom_site_fract_y
_atom_site_fract_z
_atom_site_occupancy
Cs1 0.0000 0.0000 0.0000 1
K1 0.5000 0.5000 0.5000 1
Ag1 0.5000 0.5000 0.0000 1
Te1 0.0000 0.5000 0.5000 1